(1)
A geometry-optimized ZnAsBr2 structure, computed with PBEsol.

Unit cell a=4.992 b=4.992 c=4.992 alpha=100.12 beta=114.34 gamma=114.34
Fractional positions:
Br  0.500  0.000  0.500
Br  0.500  0.500  0.000
Zn  0.000  0.500  0.500
As  0.000  0.000  0.000

Output
* space group: I4/mmm, No. 139
* total energy: -10.10 eV for the cell shown
* crystal system: tetragonal

***

(2)
A geometry-optimized ZnAsBr2 structure, computed with PBEsol.

Unit cell a=4.915 b=4.915 c=4.915 alpha=60.00 beta=60.00 gamma=60.00
Fractional positions:
Br  0.250  0.250  0.250
Br  0.000  0.000  0.000
Zn  0.750  0.750  0.750
As  0.500  0.500  0.500

Output
* space group: F-43m, No. 216
* total energy: -8.65 eV for the cell shown
* crystal system: cubic